(1)
Computed, not measured: a relaxed structure of GaPd4Se at the PBE-GGA level of DFT. Values from VASP.

Calculated values
Total magnetization (μB per formula unit): 0.00
E_form (uncorrected) (eV per atom): -0.29
Excess energy over the best structure of this formula in the dataset (eV per atom): 0.1095

```
&SYSTEM
  ibrav = 0, nat = 12, ntyp = 3
/
ATOMIC_SPECIES
Ga 69.72 Ga.upf
Pd 106.42 Pd.upf
Se 78.96 Se.upf
CELL_PARAMETERS angstrom
4.577 0.000 0.000
0.000 7.041 0.000
-0.707 0.000 6.477
ATOMIC_POSITIONS crystal
Ga 0.227 0.250 0.029
Ga 0.773 0.750 0.971
Pd 0.116 0.250 0.543
Pd 0.160 0.546 0.820
Pd 0.160 0.954 0.820
Pd 0.343 0.750 0.185
Pd 0.657 0.250 0.815
Pd 0.840 0.046 0.180
Pd 0.840 0.454 0.180
Pd 0.884 0.750 0.457
Se 0.403 0.750 0.573
Se 0.597 0.250 0.427
```



(2)
Computed, not measured: a relaxed structure of SbPdPb3 at the PBE-GGA level of DFT. Values from VASP.

Calculated values
Total magnetization (μB per formula unit): 0.00
E_form (uncorrected) (eV per atom): -0.10
Excess energy over the best structure of this formula in the dataset (eV per atom): 0.0000

```
&SYSTEM
  ibrav = 0, nat = 10, ntyp = 3
/
ATOMIC_SPECIES
Sb 121.76 Sb.upf
Pd 106.42 Pd.upf
Pb 207.20 Pb.upf
CELL_PARAMETERS angstrom
5.538 -4.606 0.000
5.538 4.606 0.000
-4.080 0.000 5.569
ATOMIC_POSITIONS crystal
Sb 0.046 0.046 0.265
Sb 0.954 0.954 0.735
Pd 0.238 0.238 0.131
Pd 0.762 0.762 0.869
Pb 0.020 0.420 0.739
Pb 0.420 0.020 0.739
Pb 0.458 0.458 0.694
Pb 0.542 0.542 0.306
Pb 0.580 0.980 0.261
Pb 0.980 0.580 0.261
```



(3)
Computed, not measured: a relaxed structure of MnRu2 at the PBE-GGA level of DFT. Values from VASP.

Calculated values
Formation energy (meV/atom): 33
Total magnetization (μB per formula unit): 0.00

```
&SYSTEM
  ibrav = 0, nat = 6, ntyp = 2
/
ATOMIC_SPECIES
Mn 54.94 Mn.upf
Ru 101.07 Ru.upf
CELL_PARAMETERS angstrom
1.339 -6.867 0.000
1.339 6.867 0.000
0.000 0.000 4.228
ATOMIC_POSITIONS crystal
Mn 0.224 0.776 0.750
Mn 0.776 0.224 0.250
Ru 0.119 0.881 0.250
Ru 0.440 0.560 0.250
Ru 0.560 0.440 0.750
Ru 0.881 0.119 0.750
```



(4)
Computed, not measured: a relaxed structure of NiIr at the PBE-GGA level of DFT. Values from VASP.

Calculated values
Formation energy (meV/atom): 273
Total magnetization (μB per formula unit): 0.43

```
&SYSTEM
  ibrav = 0, nat = 4, ntyp = 2
/
ATOMIC_SPECIES
Ni 58.69 Ni.upf
Ir 192.22 Ir.upf
CELL_PARAMETERS angstrom
1.332 -2.289 0.000
1.332 2.289 0.000
0.000 0.000 8.768
ATOMIC_POSITIONS crystal
Ni 0.250 0.750 0.884
Ni 0.750 0.250 0.116
Ir 0.250 0.750 0.365
Ir 0.750 0.250 0.635
```



(5)
Computed, not measured: a relaxed structure of NdBiPd2 at the PBE-GGA level of DFT. Values from VASP.

Calculated values
Formation energy (meV/atom): -606
Total magnetization (μB per formula unit): 0.00

```
&SYSTEM
  ibrav = 0, nat = 4, ntyp = 3
/
ATOMIC_SPECIES
Nd 144.24 Nd.upf
Bi 208.98 Bi.upf
Pd 106.42 Pd.upf
CELL_PARAMETERS angstrom
4.746 0.000 0.000
0.000 4.746 0.000
0.000 0.000 3.961
ATOMIC_POSITIONS crystal
Nd 0.000 0.000 0.000
Bi 0.500 0.500 0.000
Pd 0.000 0.500 0.500
Pd 0.500 0.000 0.500
```



(6)
Computed, not measured: a relaxed structure of NdAuI at the PBE-GGA level of DFT. Values from VASP.

Calculated values
Total magnetization (μB per formula unit): 0.00
E_form (uncorrected) (eV per atom): -1.01

```
&SYSTEM
  ibrav = 0, nat = 6, ntyp = 3
/
ATOMIC_SPECIES
Nd 144.24 Nd.upf
Au 196.97 Au.upf
I 126.90 I.upf
CELL_PARAMETERS angstrom
3.767 -2.176 0.000
3.767 2.176 0.000
-0.903 0.000 13.479
ATOMIC_POSITIONS crystal
Nd 0.146 0.146 0.322
Nd 0.854 0.854 0.678
Au 0.174 0.174 0.560
Au 0.826 0.826 0.440
I 0.460 0.460 0.167
I 0.540 0.540 0.833
```



(7)
Computed, not measured: a relaxed structure of Sr2Ca3As4 at the PBE-GGA level of DFT. Values from VASP.

Calculated values
Formation energy (meV/atom): -965
Total magnetization (μB per formula unit): 0.00

```
&SYSTEM
  ibrav = 0, nat = 9, ntyp = 3
/
ATOMIC_SPECIES
Sr 87.62 Sr.upf
Ca 40.08 Ca.upf
As 74.92 As.upf
CELL_PARAMETERS angstrom
5.646 0.000 0.000
-0.075 6.167 0.000
-2.685 -3.022 7.796
ATOMIC_POSITIONS crystal
Sr 0.176 0.098 0.348
Sr 0.824 0.902 0.652
Ca 0.000 0.500 0.000
Ca 0.359 0.594 0.728
Ca 0.641 0.406 0.272
As 0.197 0.633 0.385
As 0.272 0.020 0.994
As 0.728 0.980 0.006
As 0.803 0.367 0.615
```



(8)
Computed, not measured: a relaxed structure of Cs2NdB2Se6 at the PBE-GGA level of DFT. Values from VASP.

Calculated values
Total magnetization (μB per formula unit): 0.00
E_form (uncorrected) (eV per atom): -0.78

```
&SYSTEM
  ibrav = 0, nat = 11, ntyp = 4
/
ATOMIC_SPECIES
Cs 132.91 Cs.upf
Nd 144.24 Nd.upf
B 10.81 B.upf
Se 78.96 Se.upf
CELL_PARAMETERS angstrom
6.255 -3.610 0.000
6.255 3.610 0.000
-4.176 0.000 8.333
ATOMIC_POSITIONS crystal
Cs 0.211 0.211 0.135
Cs 0.789 0.789 0.865
Nd 0.000 0.000 0.500
B 0.406 0.406 0.717
B 0.594 0.594 0.283
Se 0.256 0.256 0.734
Se 0.256 0.724 0.735
Se 0.276 0.744 0.265
Se 0.724 0.256 0.735
Se 0.744 0.276 0.265
Se 0.744 0.744 0.266
```



(9)
Computed, not measured: a relaxed structure of Be4PSe at the PBE-GGA level of DFT. Values from VASP.

Calculated values
Total magnetization (μB per formula unit): 0.00
E_form (uncorrected) (eV per atom): 0.54

```
&SYSTEM
  ibrav = 0, nat = 6, ntyp = 3
/
ATOMIC_SPECIES
Be 9.01 Be.upf
P 30.97 P.upf
Se 78.96 Se.upf
CELL_PARAMETERS angstrom
0.000 3.276 3.276
3.276 0.000 3.276
3.276 3.276 0.000
ATOMIC_POSITIONS crystal
Be 0.124 0.124 0.124
Be 0.124 0.124 0.628
Be 0.124 0.628 0.124
Be 0.628 0.124 0.124
P 0.750 0.750 0.750
Se 0.500 0.500 0.500
```



(10)
Computed, not measured: a relaxed structure of PrInNiAu at the PBE-GGA level of DFT. Values from VASP.

Calculated values
Formation energy (meV/atom): -392
Total magnetization (μB per formula unit): 0.00

```
&SYSTEM
  ibrav = 0, nat = 4, ntyp = 4
/
ATOMIC_SPECIES
Pr 140.91 Pr.upf
In 114.82 In.upf
Ni 58.69 Ni.upf
Au 196.97 Au.upf
CELL_PARAMETERS angstrom
0.000 3.487 3.487
3.487 0.000 3.487
3.487 3.487 0.000
ATOMIC_POSITIONS crystal
Pr 0.000 0.000 0.000
In 0.500 0.500 0.500
Ni 0.750 0.750 0.750
Au 0.250 0.250 0.250
```



(11)
Computed, not measured: a relaxed structure of KYCuS2 at the PBE-GGA level of DFT. Values from VASP.

Calculated values
Total magnetization (μB per formula unit): 0.00
E_form (uncorrected) (eV per atom): -1.11

```
&SYSTEM
  ibrav = 0, nat = 10, ntyp = 4
/
ATOMIC_SPECIES
K 39.10 K.upf
Y 88.91 Y.upf
Cu 63.55 Cu.upf
S 32.06 S.upf
CELL_PARAMETERS angstrom
7.398 0.000 0.000
0.000 4.634 0.000
-1.389 0.000 7.696
ATOMIC_POSITIONS crystal
K 0.000 0.170 0.250
K 0.000 0.830 0.750
Y 0.500 0.492 0.750
Y 0.500 0.508 0.250
Cu 0.500 0.000 0.000
Cu 0.500 0.000 0.500
S 0.269 0.315 0.964
S 0.269 0.685 0.464
S 0.731 0.315 0.536
S 0.731 0.685 0.036
```



(12)
Computed, not measured: a relaxed structure of Sr2ZnGa at the PBE-GGA level of DFT. Values from VASP.

Calculated values
Formation energy (meV/atom): -288
Total magnetization (μB per formula unit): 0.00

```
&SYSTEM
  ibrav = 0, nat = 4, ntyp = 3
/
ATOMIC_SPECIES
Sr 87.62 Sr.upf
Zn 65.41 Zn.upf
Ga 69.72 Ga.upf
CELL_PARAMETERS angstrom
0.000 3.910 3.910
3.910 0.000 3.910
3.910 3.910 0.000
ATOMIC_POSITIONS crystal
Sr 0.250 0.250 0.250
Sr 0.750 0.750 0.750
Zn 0.000 0.000 0.000
Ga 0.500 0.500 0.500
```